1.
Below is a geometry-optimized AsPd6Se2 structure, with properties calculated at the PBE-GGA level.

Values from the calculation:
Its space-group type is P2_1/c.

Geometry as POSCAR:
```
AsPd6Se2
1.0
6.4011 0.0000 0.0000
0.0000 5.6163 0.0000
-3.2200 0.0000 8.9417
As Pd Se
2 12 4
Direct
0.0000 0.0000 0.0000
0.0000 0.5000 0.5000
0.0024 0.2118 0.2861
0.0024 0.2882 0.7861
0.2182 0.6454 0.0045
0.2182 0.8546 0.5045
0.3900 0.1826 0.0453
0.3900 0.3174 0.5453
0.6100 0.6826 0.4547
0.6100 0.8174 0.9547
0.7818 0.1454 0.4955
0.7818 0.3546 0.9955
0.9976 0.7118 0.2139
0.9976 0.7882 0.7139
0.3277 0.0705 0.7556
0.3277 0.4295 0.2556
0.6723 0.5705 0.7444
0.6723 0.9295 0.2444
```


2.
Below is a geometry-optimized As2PdSe6 structure, with properties calculated at the PBE-GGA level.

Values from the calculation:
Its space-group type is C2/c.

Geometry as POSCAR:
```
As2PdSe6
1.0
7.5768 -5.4337 0.0000
7.5768 5.4337 0.0000
-0.9436 0.0000 6.0216
As Pd Se
4 2 12
Direct
0.0970 0.2830 0.3439
0.2830 0.0970 0.8439
0.7170 0.9030 0.1561
0.9030 0.7170 0.6561
0.3975 0.6025 0.7500
0.6025 0.3975 0.2500
0.0277 0.1800 0.6416
0.1450 0.5681 0.8121
0.1800 0.0277 0.1416
0.3252 0.5450 0.3390
0.4319 0.8550 0.6879
0.4550 0.6748 0.1610
0.5450 0.3252 0.8390
0.5681 0.1450 0.3121
0.6748 0.4550 0.6610
0.8200 0.9723 0.8584
0.8550 0.4319 0.1879
0.9723 0.8200 0.3584
```


3.
Below is a geometry-optimized AsPdSe2 structure, with properties calculated at the PBE-GGA level.

Values from the calculation:
Its space-group type is I-42d.

Geometry as POSCAR:
```
AsPdSe2
1.0
5.9178 0.0000 0.0000
0.0000 5.9178 0.0000
0.0000 0.0000 11.8475
As Pd Se
4 4 8
Direct
0.0000 0.0000 0.0000
0.0000 0.5000 0.2500
0.5000 0.0000 0.7500
0.5000 0.5000 0.5000
0.0000 0.0000 0.5000
0.0000 0.5000 0.7500
0.5000 0.0000 0.2500
0.5000 0.5000 0.0000
0.2309 0.2500 0.6250
0.2500 0.7309 0.8750
0.2500 0.7691 0.3750
0.2691 0.2500 0.1250
0.7309 0.7500 0.1250
0.7500 0.2309 0.3750
0.7500 0.2691 0.8750
0.7691 0.7500 0.6250
```


Quick rundown of raw formation energy, same order as above: -0.2052; -0.0498; 0.0294 eV per atom
Quick rundown of total energy, same order as above: -4.96; -3.98; -4.17 eV per atom